(1)
The following is a PBE calculation of a geometry-optimized TiNbTe2 structure, from the Alexandria database.

Values from the calculation:
- E_form (uncorrected): -99.7 kJ/mol of formula units
- Excess energy over the best structure of this formula in the dataset: 0.0 meV/atom
- Uncorrected energy: -25.28 eV/cell

Cell: 4.850 4.850 4.850 Å, 60.00 60.00 60.00°
Last column: magnetic moment on the atom in μB.
Fractional positions:
Ti1 0.000 0.000 0.000  0.71
Nb1 0.500 0.500 0.500  0.10
Te1 0.750 0.750 0.750  -0.03
Te2 0.250 0.250 0.250  -0.03

***

(2)
The following is a PBE calculation of a geometry-optimized Ta2SiAg structure, from the Alexandria database.

Values from the calculation:
- E_form (uncorrected): 2.8 kJ/mol of formula units
- Uncorrected energy: -31.95 eV/cell

Cell: 2.905 2.905 8.044 Å, 90.00 90.00 100.34°
Fractional positions:
Ta1 0.000 0.000 0.528
Ta2 0.000 0.000 0.972
Ag1 0.500 0.500 0.250
Si1 0.500 0.500 0.750

***

(3)
The following is a PBE calculation of a geometry-optimized Na2CuRh structure, from the Alexandria database.

Values from the calculation:
- Energy of formation from the pure elements: 0.60 eV/atom
- Excess energy over the best structure of this formula in the dataset: 45.6 meV/atom
- Uncorrected energy: -23.41 eV/cell

Cell: 7.740 7.740 6.049 Å, 50.23 50.23 90.00°
Last column: magnetic moment on the atom in μB.
Fractional positions:
Na1 0.613 0.125 0.250  0.00
Na2 0.375 0.387 0.750  0.00
Na3 0.875 0.863 0.750  0.00
Na4 0.137 0.625 0.250  0.00
Rh1 0.000 0.000 0.000  0.13
Rh2 0.750 0.250 0.500  0.13
Cu1 0.250 0.750 0.500  0.00
Cu2 0.500 0.500 0.000  0.00

***

(4)
The following is a PBE calculation of a geometry-optimized K2NaPd structure, from the Alexandria database.

Values from the calculation:
- Energy of formation from the pure elements: 0.17 eV/atom
- Uncorrected energy: -8.01 eV/cell

Cell: 4.931 5.264 5.264 Å, 90.00 90.00 90.00°
Fractional positions:
Pd1 0.500 0.000 0.000
K1 0.000 0.500 0.000
K2 0.000 0.000 0.500
Na1 0.500 0.500 0.500

***

(5)
The following is a PBE calculation of a geometry-optimized P2RuSeN structure, from the Alexandria database.

Values from the calculation:
- E_form (uncorrected): -8.8 kJ/mol of formula units
- Excess energy over the best structure of this formula in the dataset: 47.0 meV/atom
- Uncorrected energy: -32.00 eV/cell

Cell: 4.284 4.591 4.736 Å, 118.95 96.78 90.00°
Fractional positions:
P1 0.005 0.409 0.216
P2 0.632 0.589 0.576
Ru1 0.020 0.803 0.005
N1 0.242 0.594 0.587
Se1 0.586 0.975 0.348

***

(6)
The following is a PBE calculation of a geometry-optimized Li2MgIn4Ga structure, from the Alexandria database.

Values from the calculation:
- Energy of formation from the pure elements: -0.12 eV/atom
- Uncorrected energy: -20.38 eV/cell

Cell: 6.696 6.120 6.120 Å, 72.58 56.83 56.83°
Fractional positions:
In1 0.000 0.500 0.000
In2 0.501 0.000 0.500
In3 0.499 0.500 0.000
In4 0.000 0.000 0.500
Ga1 0.000 0.000 0.000
Li1 0.500 0.500 0.500
Li2 0.000 0.500 0.500
Mg1 0.500 0.000 0.000

***

(7)
The following is a PBE calculation of a geometry-optimized PmPuAlPd structure, from the Alexandria database.

Values from the calculation:
- Energy of formation from the pure elements: -0.29 eV/atom
- Uncorrected energy: -29.19 eV/cell

Cell: 5.126 5.126 5.126 Å, 60.00 60.00 60.00°
Last column: magnetic moment on the atom in μB.
Fractional positions:
Pd1 0.750 0.750 0.750  -0.03
Pm1 0.000 0.000 0.000  0.03
Al1 0.250 0.250 0.250  -0.01
Pu1 0.500 0.500 0.500  5.30

***

(8)
The following is a PBE calculation of a geometry-optimized Sr3InGa2Hg6 structure, from the Alexandria database.

Values from the calculation:
- Energy of formation from the pure elements: -0.24 eV/atom
- Uncorrected energy: -18.47 eV/cell

Cell: 6.640 6.640 9.261 Å, 90.00 90.00 120.00°
Fractional positions:
Ga1 0.667 0.333 0.986
Ga2 0.333 0.667 0.014
Hg1 0.821 0.179 0.729
Hg2 0.821 0.641 0.729
Hg3 0.179 0.821 0.271
Hg4 0.179 0.359 0.271
Hg5 0.641 0.821 0.271
Hg6 0.359 0.179 0.729
Sr1 0.000 0.000 0.000
Sr2 0.667 0.333 0.370
Sr3 0.333 0.667 0.630
In1 0.000 0.000 0.500